Material: EuYZn2
Method: DFT, GGA-PBE
State: optimized geometry

abc: 3.665 3.665 7.340
angles: 90.00 90.00 90.00
Sites, in units of the cell vectors:
Eu 0.500 0.500 0.500
Zn 0.000 0.000 0.776
Zn 0.000 0.000 0.224
Y 0.500 0.500 0.000

* symmetry: P4/mmm (123)
* formation energy: -0.304 eV/atom

Material: Li2HgOsPt
Method: DFT, GGA-PBE
State: optimized geometry

abc: 4.525 4.832 4.525
angles: 90.00 90.00 90.00
Sites, in units of the cell vectors:
Os 0.000 0.500 0.000
Li 0.500 0.000 0.000
Li 0.000 0.000 0.500
Hg 0.500 0.500 0.500
Pt 0.000 0.000 0.000

* symmetry: P4/mmm (123)
* formation energy: 0.521 eV/atom

Material: SrLaCl2
Method: DFT, GGA-PBE
State: optimized geometry

abc: 10.675 10.675 10.675
angles: 22.58 22.58 22.58
Sites, in units of the cell vectors:
Cl 0.233 0.233 0.233
Cl 0.017 0.017 0.017
Sr 0.736 0.736 0.736
La 0.514 0.514 0.514

* uncorrected formation energy: -6.2 eV per formula unit
* excess energy over the best structure of this formula in the dataset: 38 meV per atom
* symmetry: R3m (160)

Material: MgTl8Cd2
Method: DFT, GGA-PBE
State: optimized geometry

abc: 5.463 8.213 8.213
angles: 74.02 80.63 80.63
Sites, in units of the cell vectors:
Tl 0.796 0.194 0.644
Tl 0.108 0.763 0.763
Tl 0.317 0.386 0.386
Tl 0.683 0.614 0.614
Tl 0.796 0.644 0.194
Tl 0.204 0.806 0.356
Tl 0.892 0.237 0.237
Tl 0.204 0.356 0.806
Cd 0.464 0.120 0.120
Cd 0.536 0.880 0.880
Mg 0.000 0.000 0.000

* symmetry: C2/m (12)
* formation energy: 0.087 eV/atom

Material: LaCd2Os
Method: DFT, GGA-PBE
State: optimized geometry

abc: 5.019 5.019 5.019
angles: 119.77 119.77 90.40
Sites, in units of the cell vectors:
Os 0.750 0.250 0.500
Cd 0.000 0.000 0.000
Cd 0.250 0.750 0.500
La 0.500 0.500 0.000

* symmetry: I-4m2 (119)
* formation energy: 0.267 eV/atom

Material: Ba2ZrRh
Method: DFT, GGA-PBE
State: optimized geometry

abc: 6.497 6.497 6.497
angles: 139.74 139.74 58.25
Sites, in units of the cell vectors:
Ba 0.000 0.000 0.000
Ba 0.500 0.500 0.000
Rh 0.250 0.750 0.500
Zr 0.750 0.250 0.500

* excess energy over the best structure of this formula in the dataset: 607 meV per atom
* symmetry: I4/mmm (139)
* formation energy: 0.547 eV/atom

Material: Er5SnPd2
Method: DFT, GGA-PBE
State: optimized geometry

abc: 7.751 7.751 8.664
angles: 116.57 116.57 90.00
Sites, in units of the cell vectors:
Er 0.201 0.015 0.716
Er 0.000 0.000 0.000
Er 0.799 0.985 0.284
Er 0.299 0.799 0.284
Er 0.500 0.500 0.000
Er 0.985 0.485 0.284
Er 0.515 0.701 0.716
Er 0.015 0.515 0.716
Er 0.485 0.299 0.284
Er 0.701 0.201 0.716
Pd 0.365 0.865 0.000
Pd 0.135 0.365 0.000
Pd 0.865 0.635 0.000
Pd 0.635 0.135 0.000
Sn 0.250 0.250 0.500
Sn 0.750 0.750 0.500

* symmetry: I4/mcm (140)
* formation energy: -0.707 eV/atom

Material: Na4Bi3Pb
Method: DFT, GGA-PBE
State: optimized geometry

abc: 5.933 6.970 11.301
angles: 90.00 90.00 90.00
Sites, in units of the cell vectors:
Na 0.500 0.250 0.500
Na 0.831 0.250 0.250
Na 0.500 0.250 0.000
Na 0.500 0.750 0.000
Na 0.169 0.750 0.750
Na 0.831 0.750 0.250
Na 0.500 0.750 0.500
Na 0.169 0.250 0.750
Bi 0.682 0.000 0.750
Bi 0.000 0.000 0.500
Bi 0.330 0.500 0.250
Bi 0.318 0.000 0.250
Bi 0.670 0.500 0.750
Bi 0.000 0.000 0.000
Pb 0.000 0.500 0.500
Pb 0.000 0.500 0.000

* symmetry: Pmma (51)
* formation energy: -0.265 eV/atom

Material: Sm2Pa2Te7
Method: DFT, GGA-PBE
State: optimized geometry

abc: 4.296 9.686 9.686
angles: 60.66 77.19 77.19
Sites, in units of the cell vectors:
Te 0.607 0.495 0.291
Te 0.393 0.709 0.505
Te 0.500 0.012 0.988
Te 0.179 0.710 0.933
Te 0.821 0.067 0.290
Te 0.137 0.148 0.579
Te 0.863 0.421 0.852
Pa 0.000 0.775 0.225
Pa 0.500 0.326 0.674
Sm 0.738 0.857 0.667
Sm 0.262 0.333 0.143

* uncorrected formation energy: -11.9 eV per formula unit
* excess energy over the best structure of this formula in the dataset: 0 meV per atom
* symmetry: Imm2 (44)

Material: MgSnSb
Method: DFT, GGA-PBE
State: optimized geometry

abc: 3.967 3.967 5.630
angles: 110.63 110.63 90.00
Sites, in units of the cell vectors:
Mg 0.287 0.287 0.575
Sb 0.949 0.949 0.898
Sn 0.614 0.614 0.228

* uncorrected formation energy: -0.1 eV per formula unit
* symmetry: I4mm (107)

Material: LaRh2W2
Method: DFT, GGA-PBE
State: optimized geometry

abc: 7.989 7.989 2.813
angles: 90.00 90.00 90.00
Sites, in units of the cell vectors:
Rh 0.623 0.123 0.000
Rh 0.377 0.877 0.000
Rh 0.123 0.377 0.000
Rh 0.877 0.623 0.000
La 0.500 0.500 0.000
La 0.000 0.000 0.000
W 0.833 0.333 0.500
W 0.333 0.167 0.500
W 0.667 0.833 0.500
W 0.167 0.667 0.500

* excess energy over the best structure of this formula in the dataset: 163 meV per atom
* symmetry: P4/mbm (127)
* formation energy: 0.165 eV/atom

Material: MnRhS2
Method: DFT, GGA-PBE
State: optimized geometry

abc: 3.829 3.829 6.091
angles: 90.00 90.00 120.00
Sites, in units of the cell vectors:
Rh 0.000 0.000 0.978
S 0.000 0.000 0.365
S 0.667 0.333 0.889
Mn 0.667 0.333 0.519

* uncorrected formation energy: -1.3 eV per formula unit
* excess energy over the best structure of this formula in the dataset: 0 meV per atom
* symmetry: P3m1 (156)